An optimized crystal structure of Gd2TmZr. Source: the Alexandria database, functional GGA-PBE.

Values from the calculation:
ΔE to the lowest computed polymorph   3 kJ/mol of formula units
Calculated density   8.3 Mg/m³
Total magnetic moment   14.024 μB per formula unit
Formation enthalpy at 0 K   95 meV/atom

CIF file:
```
data_Gd2TmZr
_cell_length_a 4.8539
_cell_length_b 4.8539
_cell_length_c 4.8663
_cell_angle_alpha 90.00
_cell_angle_beta 90.00
_cell_angle_gamma 90.00
_symmetry_space_group_name_H-M 'P 1'
_symmetry_Int_Tables_number 1
loop_
_symmetry_equiv_pos_as_xyz
'x,y,z'
loop_
_atom_site_label
_atom_site_fract_x
_atom_site_fract_y
_atom_site_fract_z
_atom_site_occupancy
Gd1 0.0000 0.5000 0.0000 1
Gd2 0.5000 0.0000 0.0000 1
Tm1 0.0000 0.0000 0.5000 1
Zr1 0.5000 0.5000 0.5000 1
```



An optimized crystal structure of ThOsPb. Source: the Alexandria database, functional GGA-PBE.

Values from the calculation:
Calculated density   13.7 Mg/m³
Total magnetic moment   0.000 μB per formula unit
Formation enthalpy at 0 K   -30 meV/atom

CIF file:
```
data_ThOsPb
_cell_length_a 3.4926
_cell_length_b 17.9209
_cell_length_c 4.8741
_cell_angle_alpha 90.00
_cell_angle_beta 90.00
_cell_angle_gamma 90.00
_symmetry_space_group_name_H-M 'P 1'
_symmetry_Int_Tables_number 1
loop_
_symmetry_equiv_pos_as_xyz
'x,y,z'
loop_
_atom_site_label
_atom_site_fract_x
_atom_site_fract_y
_atom_site_fract_z
_atom_site_occupancy
Th1 0.0000 0.0766 0.2500 1
Th2 0.0000 0.9234 0.7500 1
Th3 0.5000 0.4234 0.7500 1
Th4 0.5000 0.5766 0.2500 1
Os1 0.0000 0.4406 0.2500 1
Os2 0.0000 0.5594 0.7500 1
Os3 0.5000 0.0594 0.7500 1
Os4 0.5000 0.9406 0.2500 1
Pb1 0.0000 0.2071 0.7500 1
Pb2 0.0000 0.7929 0.2500 1
Pb3 0.5000 0.2929 0.2500 1
Pb4 0.5000 0.7071 0.7500 1
```



An optimized crystal structure of Nd2Er6In. Source: the Alexandria database, functional GGA-PBE.

Values from the calculation:
Calculated density   8.3 Mg/m³
Total magnetic moment   0.000 μB per formula unit
Formation enthalpy at 0 K   -20 meV/atom

CIF file:
```
data_Nd2Er6In
_cell_length_a 9.5700
_cell_length_b 9.5700
_cell_length_c 9.5700
_cell_angle_alpha 159.03
_cell_angle_beta 116.01
_cell_angle_gamma 68.15
_symmetry_space_group_name_H-M 'P 1'
_symmetry_Int_Tables_number 1
loop_
_symmetry_equiv_pos_as_xyz
'x,y,z'
loop_
_atom_site_label
_atom_site_fract_x
_atom_site_fract_y
_atom_site_fract_z
_atom_site_occupancy
Nd1 0.1511 0.1511 0.0000 1
Nd2 0.8489 0.8489 0.0000 1
Er1 0.1609 0.8228 0.3381 1
Er2 0.2067 0.5000 0.7067 1
Er3 0.4847 0.8228 0.6619 1
Er4 0.5153 0.1772 0.3381 1
Er5 0.7933 0.5000 0.2933 1
Er6 0.8391 0.1772 0.6619 1
In1 0.5000 0.0000 0.5000 1
```



An optimized crystal structure of CsLaHRhS. Source: the Alexandria database, functional GGA-PBE.

Values from the calculation:
ΔE to the lowest computed polymorph   104 kJ/mol of formula units
Calculated density   5.3 Mg/m³
Total magnetic moment   0.000 μB per formula unit

CIF file:
```
data_CsLaHRhS
_cell_length_a 7.4408
_cell_length_b 4.2150
_cell_length_c 8.2876
_cell_angle_alpha 90.00
_cell_angle_beta 98.72
_cell_angle_gamma 90.00
_symmetry_space_group_name_H-M 'P 1'
_symmetry_Int_Tables_number 1
loop_
_symmetry_equiv_pos_as_xyz
'x,y,z'
loop_
_atom_site_label
_atom_site_fract_x
_atom_site_fract_y
_atom_site_fract_z
_atom_site_occupancy
Cs1 0.0000 0.0000 0.0000 1
Cs2 0.5000 0.5000 0.0000 1
La1 0.4016 0.5000 0.4832 1
La2 0.9016 0.0000 0.4832 1
H1 0.3537 0.0000 0.2758 1
H2 0.8537 0.5000 0.2758 1
Rh1 0.1089 0.5000 0.6554 1
Rh2 0.6089 0.0000 0.6554 1
S1 0.2798 0.0000 0.7054 1
S2 0.7798 0.5000 0.7054 1
```



An optimized crystal structure of Rb2ScInGe. Source: the Alexandria database, functional GGA-PBE.

Values from the calculation:
Calculated density   2.8 Mg/m³
Total magnetic moment   1.784 μB per formula unit
Formation enthalpy at 0 K   362 meV/atom

CIF file:
```
data_Rb2ScInGe
_cell_length_a 6.8215
_cell_length_b 6.8215
_cell_length_c 5.1996
_cell_angle_alpha 90.00
_cell_angle_beta 90.00
_cell_angle_gamma 90.00
_symmetry_space_group_name_H-M 'P 1'
_symmetry_Int_Tables_number 1
loop_
_symmetry_equiv_pos_as_xyz
'x,y,z'
loop_
_atom_site_label
_atom_site_fract_x
_atom_site_fract_y
_atom_site_fract_z
_atom_site_occupancy
Rb1 0.0000 0.5000 0.0000 1
Rb2 0.5000 0.0000 0.0000 1
Sc1 0.0000 0.0000 0.5000 1
In1 0.5000 0.5000 0.5000 1
Ge1 0.0000 0.0000 0.0000 1
```



An optimized crystal structure of Rb2Pa2TlTe5. Source: the Alexandria database, functional GGA-PBE.

Values from the calculation:
Calculated density   6.4 Mg/m³
Total magnetic moment   2.517 μB per formula unit
Formation energy from raw total energies   -0.740 eV/atom

CIF file:
```
data_Rb2Pa2TlTe5
_cell_length_a 13.7843
_cell_length_b 13.7843
_cell_length_c 4.0304
_cell_angle_alpha 90.00
_cell_angle_beta 90.00
_cell_angle_gamma 90.00
_symmetry_space_group_name_H-M 'P 1'
_symmetry_Int_Tables_number 1
loop_
_symmetry_equiv_pos_as_xyz
'x,y,z'
loop_
_atom_site_label
_atom_site_fract_x
_atom_site_fract_y
_atom_site_fract_z
_atom_site_occupancy
Rb1 0.1807 0.3193 0.0000 1
Rb2 0.3193 0.8193 0.0000 1
Rb3 0.6807 0.1807 0.0000 1
Rb4 0.8193 0.6807 0.0000 1
Pa1 0.1204 0.6204 0.0000 1
Pa2 0.3796 0.1204 0.0000 1
Pa3 0.6204 0.8796 0.0000 1
Pa4 0.8796 0.3796 0.0000 1
Tl1 0.0000 0.0000 0.0000 1
Tl2 0.5000 0.5000 0.0000 1
Te1 0.0000 0.5000 0.5000 1
Te2 0.0718 0.7832 0.5000 1
Te3 0.2168 0.0718 0.5000 1
Te4 0.2832 0.5718 0.5000 1
Te5 0.4282 0.2832 0.5000 1
Te6 0.5000 0.0000 0.5000 1
Te7 0.5718 0.7168 0.5000 1
Te8 0.7168 0.4282 0.5000 1
Te9 0.7832 0.9282 0.5000 1
Te10 0.9282 0.2168 0.5000 1
```